Here is a relaxed structure of PmSn3Hg3 from the Alexandria database. Energies are from PBE-GGA.

As for the electronic total energy: -30.6 eV per cell. Its formation energy from the elements is 229 kJ/mol of formula units. The calculation puts the total moment at 0.0 μB per cell.

It has space group Pm-3n (No. 223), with a = 7.843 Å, b = 7.843 Å, c = 7.843 Å, α = 90.00°, β = 90.00° and γ = 90.00°. The asymmetric unit holds Pm at (0.000, 0.000, 0.000), Sn at (0.000, 0.250, 0.500) and Hg at (0.000, 0.500, 0.250).

***

Here is a relaxed structure of Li4Ho3Tl4 from the Alexandria database. Energies are from PBE-GGA.

As for the electronic total energy: -67.5 eV per cell. Its polymorph energy (0 for the lowest one) is 0 meV per atom. Its formation energy from the elements is -279 kJ/mol of formula units. The calculation puts the total moment at 0.0 μB per cell.

It has space group C2/m (No. 12), with a = 30.854 Å, b = 3.481 Å, c = 4.867 Å, α = 90.00°, β = 99.04° and γ = 90.00°. The asymmetric unit holds Li at (0.093, 0.000, 0.093), Li at (0.240, 0.000, 0.740), Ho at (0.000, 0.500, 0.000), Ho at (0.144, 0.500, 0.644), Tl at (0.052, 0.000, 0.552) and Tl at (0.184, 0.000, 0.184).

***

Here is a relaxed structure of Li3NdPd2 from the Alexandria database. Energies are from PBE-GGA.

As for the electronic total energy: -94.7 eV per cell. Its formation energy from the elements is -268 kJ/mol of formula units. The calculation puts the total moment at 0.0 μB per cell.

It has space group C2/m (No. 12), with a = 13.996 Å, b = 4.217 Å, c = 8.417 Å, α = 90.00°, β = 117.78° and γ = 90.00°. The asymmetric unit holds Li at (0.060, 0.000, 0.393), Li at (0.083, 0.500, 0.686), Li at (0.214, 0.500, 0.535), Nd at (0.137, 0.000, 0.026), Pd at (0.059, 0.500, 0.189) and Pd at (0.210, 0.000, 0.735).

***

Here is a relaxed structure of GeH2Se from the Alexandria database. Energies are from PBE-GGA.

As for the electronic total energy: -29.9 eV per cell. Its polymorph energy (0 for the lowest one) is 80 meV per atom. The calculation puts the total moment at 0.0 μB per cell.

It has space group Cm (No. 8), with a = 8.749 Å, b = 3.639 Å, c = 5.230 Å, α = 90.00°, β = 105.86° and γ = 90.00°. The asymmetric unit holds Ge at (0.000, 0.000, 0.000), H at (0.135, 0.000, 0.864), H at (0.335, 0.500, 0.796) and Se at (0.028, 0.500, 0.303).

***

Here is a relaxed structure of Mn2CuBr from the Alexandria database. Energies are from PBE-GGA.

The calculation puts the uncorrected formation energy at 235.1 kJ/mol of formula units. As for the electronic total energy: -86.7 eV per cell. Its polymorph energy (0 for the lowest one) is 348 meV per atom. The calculation puts the total moment at 31.0 μB per cell.

It has space group Fm-3m (No. 225), with a = 6.367 Å, b = 6.367 Å, c = 6.367 Å, α = 90.00°, β = 90.00° and γ = 90.00°. The asymmetric unit holds Mn at (0.250, 0.250, 0.250), Cu at (0.000, 0.000, 0.000) and Br at (0.000, 0.000, 0.500).

***

Here is a relaxed structure of TaPb5 from the Alexandria database. Energies are from PBE-GGA.

As for the electronic total energy: -28.6 eV per cell. Its polymorph energy (0 for the lowest one) is 0 meV per atom. Its formation energy from the elements is 176 kJ/mol of formula units. The calculation puts the total moment at 0.0 μB per cell.

It has space group P4/mmm (No. 123), with a = 3.270 Å, b = 3.270 Å, c = 15.939 Å, α = 90.00°, β = 90.00° and γ = 90.00°. The asymmetric unit holds Ta at (0.000, 0.000, 0.000), Pb at (0.000, 0.000, 0.324), Pb at (0.500, 0.500, 0.137) and Pb at (0.500, 0.500, 0.500).